# ZrBeMo

ZrBeMo after structural relaxation (PBE-GGA, Alexandria).

Cell: 5.1415 5.1415 5.1415 Å, 90.14 61.21 121.39°
Closest atoms and distances in Å follow each position.
Positions (direct):
1 Zr 0.7500 0.8792 0.3708  6 Be 2.97-3.06, 6 Mo 2.98-3.05, 4 Zr 3.14-3.15
2 Zr 0.2500 0.1208 0.6292  6 Be 2.97-3.06, 6 Mo 2.98-3.05, 4 Zr 3.14-3.15
3 Mo 0.5000 0.0000 0.0000  2 Mo 2.52, 4 Be 2.57
4 Mo 0.0000 0.5000 0.0000  2 Mo 2.52, 4 Be 2.57
5 Be 0.0000 0.5000 0.5000  4 Mo 2.57, 2 Be 2.62
6 Be 0.5000 0.5000 0.0000  4 Mo 2.57, 2 Be 2.62

Energy above the most stable polymorph in this dataset   0.000 eV per atom
Space group   Imma (74)

# ZrBeMo2

ZrBeMo2 after structural relaxation (PBE-GGA, Alexandria).

Cell: 5.2270 5.2270 5.2270 Å, 137.40 137.40 61.82°
Closest atoms and distances in Å follow each position.
Positions (direct):
1 Be 0.7500 0.2500 0.5000  4 Zr 2.68, 8 Mo 2.94
2 Mo 0.0000 0.0000 0.0000  4 Mo 2.68, 4 Be 2.94, 4 Zr 2.94
3 Mo 0.5000 0.5000 0.0000  4 Mo 2.68, 4 Zr 2.94, 4 Be 2.94
4 Zr 0.2500 0.7500 0.5000  4 Be 2.68, 8 Mo 2.94

Space group   I4/mmm (139)

# Zr2BeMo

Zr2BeMo after structural relaxation (PBE-GGA, Alexandria).

Cell: 8.0805 8.0805 8.0805 Å, 23.50 23.50 23.50°
Closest atoms and distances in Å follow each position.
Positions (direct):
1 Be 0.2500 0.2500 0.2500  6 Zr 2.67
2 Mo 0.7500 0.7500 0.7500  6 Zr 2.80
3 Zr 0.9962 0.9962 0.9962  3 Be 2.67, 3 Mo 2.80
4 Zr 0.5038 0.5038 0.5038  3 Be 2.67, 3 Mo 2.80

Space group   R-3m (166)

For reference, E by record: -7.784 -8.256 -7.662 eV per atom.